DFT (GGA-PBEsol) results for a relaxed KLa2H crystal.

Cell lengths 7.591, 7.591, 9.102 Å; angles 90.00, 90.00, 90.00 degrees
Space group I-42d (No. 122)
Asymmetric unit:
K 0.000 0.000 0.000 [4 per cell]
La 0.087 0.250 0.625 [8 per cell]
H 0.000 0.000 0.500 [4 per cell]

spin magnetization	0.00	μB/f.u.
calculated volume	524.5	Å³/cell
calculated total energy	-57.93	eV/cell